(1)
First-principles (PBE) data for a relaxed structure of LiNdEuSi, as listed in the Alexandria database.

Lattice parameters (Å, degrees): 5.207 5.207 5.207 60.00 60.00 60.00
Atoms (fractional coordinates):
Eu: 0.000 0.000 0.000
Si: 0.750 0.750 0.750
Nd: 0.500 0.500 0.500
Li: 0.250 0.250 0.250

Total magnetic moment ... 1.8674 μB per atom
SG ... F-43m (216)
V ... 99.8 Å³/cell
Energy ... -23.530 eV for the cell shown


(2)
First-principles (PBE) data for a relaxed structure of Tb4Sm2Tl, as listed in the Alexandria database.

Lattice parameters (Å, degrees): 5.810 6.726 11.679 90.00 105.49 90.00
Atoms (fractional coordinates):
Tb: 0.626 0.491 0.287
Tb: 0.975 0.750 0.869
Tb: 0.025 0.250 0.131
Tb: 0.626 0.009 0.287
Tb: 0.851 0.250 0.569
Tb: 0.374 0.991 0.713
Tb: 0.374 0.509 0.713
Tb: 0.149 0.750 0.431
Sm: 0.560 0.750 0.024
Sm: 0.440 0.250 0.976
Sm: 0.264 0.250 0.430
Sm: 0.736 0.750 0.570
Tl: 0.124 0.750 0.159
Tl: 0.876 0.250 0.841

Total magnetic moment ... 0.0000 μB per atom
Formation energy from the elements ... -9 meV/atom
SG ... P2_1/m (11)
V ... 439.9 Å³/cell
Energy relative to the lowest polymorph listed for this composition ... 0.044 eV/atom


(3)
First-principles (PBE) data for a relaxed structure of LiInGeBi, as listed in the Alexandria database.

Lattice parameters (Å, degrees): 5.159 5.159 5.159 60.00 60.00 60.00
Atoms (fractional coordinates):
Ge: 0.250 0.250 0.250
Li: 0.750 0.750 0.750
Bi: 0.500 0.500 0.500
In: 0.000 0.000 0.000

Total magnetic moment ... 0.0000 μB per atom
Formation energy from the elements ... -1 meV/atom
SG ... F-43m (216)
V ... 97.1 Å³/cell


(4)
First-principles (PBE) data for a relaxed structure of TbNiAgPb, as listed in the Alexandria database.

Lattice parameters (Å, degrees): 4.872 4.872 4.872 60.00 60.00 60.00
Atoms (fractional coordinates):
Pb: 0.500 0.500 0.500
Ni: 0.250 0.250 0.250
Tb: 0.000 0.000 0.000
Ag: 0.750 0.750 0.750

Total magnetic moment ... 0.0000 μB per atom
Formation energy from the elements ... -203 meV/atom
SG ... F-43m (216)
V ... 81.8 Å³/cell


(5)
First-principles (PBE) data for a relaxed structure of MnSi2Ag, as listed in the Alexandria database.

Lattice parameters (Å, degrees): 8.323 8.323 8.323 20.24 20.24 20.24
Atoms (fractional coordinates):
Ag: 0.502 0.502 0.502
Mn: 0.742 0.742 0.742
Si: 0.000 0.000 0.000
Si: 0.256 0.256 0.256

Total magnetic moment ... 0.8805 μB per atom
SG ... R3m (160)
V ... 60.4 Å³/cell
Energy relative to the lowest polymorph listed for this composition ... 0.306 eV/atom


(6)
First-principles (PBE) data for a relaxed structure of MnP2S2, as listed in the Alexandria database.

Lattice parameters (Å, degrees): 4.209 4.209 4.820 90.00 90.00 90.00
Atoms (fractional coordinates):
P: 0.500 0.500 0.500
P: 0.000 0.000 0.500
S: 0.000 0.500 0.000
S: 0.500 0.000 0.000
Mn: 0.000 0.000 0.000

Total magnetic moment ... 0.0002 μB per atom
SG ... P4/mmm (123)
V ... 85.4 Å³/cell
Energy relative to the lowest polymorph listed for this composition ... 0.143 eV/atom